VASP calculation (PBE-GGA) on crystalline Sm4AlOs at its relaxed geometry.

```
Sm4AlOs
1.0
-4.271 8.626 1.411
-5.393 1.514 7.954
3.220 5.935 7.003
Sm Os Al
16 4 4
direct
0.554 0.946 0.946
0.191 0.809 0.191
0.191 0.191 0.809
0.401 0.797 0.401
0.946 0.946 0.554
0.809 0.191 0.191
0.554 0.946 0.554
0.809 0.191 0.809
0.401 0.401 0.401
0.191 0.809 0.809
0.946 0.554 0.946
0.946 0.554 0.554
0.401 0.401 0.797
0.554 0.554 0.946
0.797 0.401 0.401
0.809 0.809 0.191
0.612 0.164 0.612
0.164 0.612 0.612
0.612 0.612 0.612
0.612 0.612 0.164
0.175 0.476 0.175
0.175 0.175 0.175
0.476 0.175 0.175
0.175 0.175 0.476
```

Computed properties:
- space-group type = F-43m, No. 216
- energy above the lowest structure with this stoichiometry (kJ per mole of atoms) = 0.0
- volume (Å³ per cell) = 651
- crystal system = cubic
- Fermi-level density of states (states/eV per cell) = 20.28
- energy of formation (meV/atom) = -237

---

VASP calculation (PBE-GGA) on crystalline Tb2Tm12Th5 at its relaxed geometry.

```
Tb2Tm12Th5
1.0
-3.294 0.444 -6.176
2.426 -9.391 2.013
-7.802 -5.163 3.790
Th Tm Tb
5 12 2
direct
0.681 0.361 0.789
0.319 0.639 0.211
0.188 0.376 0.816
0.000 0.000 0.500
0.812 0.624 0.184
0.413 0.331 0.487
0.403 0.314 0.138
0.597 0.686 0.862
0.496 0.992 0.325
0.027 0.054 0.765
0.911 0.314 0.138
0.973 0.946 0.235
0.089 0.686 0.862
0.504 0.008 0.675
0.918 0.331 0.487
0.082 0.669 0.513
0.587 0.669 0.513
0.714 0.000 0.000
0.286 0.000 0.000
```

Computed properties:
- space-group type = C2/m, No. 12
- energy above the lowest structure with this stoichiometry (kJ per mole of atoms) = 5.4
- volume (Å³ per cell) = 602
- crystal system = monoclinic
- Fermi-level density of states (states/eV per cell) = 29.49
- energy of formation (meV/atom) = 217

---

VASP calculation (PBE-GGA) on crystalline Tl2W at its relaxed geometry.

```
Tl2W
1.0
2.930 0.000 0.000
0.000 7.529 0.000
0.000 0.000 7.519
W Tl
2 4
direct
0.500 0.500 0.500
0.000 0.000 0.000
0.000 0.737 0.264
0.500 0.763 0.764
0.500 0.237 0.236
0.000 0.263 0.736
```

Computed properties:
- space-group type = Pnnm, No. 58
- energy above the lowest structure with this stoichiometry (kJ per mole of atoms) = 37.2
- volume (Å³ per cell) = 166
- crystal system = orthorhombic
- Fermi-level density of states (states/eV per cell) = 5.98
- energy of formation (meV/atom) = 1014

---

Q: Which of these has the lowest Fermi-level density of states?
A: Tl2W

---

Q: Which value of energy of formation does entry 3 give?
A: 1014 meV/atom

---

Q: Which of these has the highest volume?
A: Sm4AlOs